BaWOF2 | Alexandria via LeMat-Bulk | PBE with a Hubbard U | relaxed; space-group type = P4/mmm; D(E_F) = 0.4021 states/eV per atom; distance to the lowest polymorph of the same formula = 0.979 eV/atom; calculated total energy = -4.6802 eV/atom; crystal system = tetragonal
1.0
4.924 0.000 0.000
0.000 4.924 0.000
0.000 0.000 5.060
O Ba W F
1 1 1 2
direct
0.000 0.000 0.500
0.000 0.000 0.000
0.500 0.500 0.500
0.000 0.500 0.000
0.500 0.000 0.000